Entry from Alexandria via LeMat-Bulk: a PBEsol-optimized structure of CdMo (SCAN).

POSCAR file:
```
CdMo
1.0
-4.138 0.231 -1.984
-3.798 -0.411 2.553
-2.691 3.653 0.719
Mo Cd
2 2
Direct
0.750 0.750 0.750 Mo
0.500 0.500 0.500 Mo
0.000 0.000 0.000 Cd
0.250 0.250 0.250 Cd
```

Results
- Offset from the most stable computed form: 106 meV per atom
- Size of the total moment: 0.0 μB per formula unit
- ΔH_f (0 K): 0.56 eV/atom
- DFT total energy: -32.09 eV/atom